VASP calculation (GGA-PBE) on a relaxed structure of Ac3Ce2Pb3.

Computed properties:
Symmetry: Immm
Formation energy: -0.3421 eV/atom
Magnetic moment: 2.96 μB/cell
Mass density: 9.4 g cm⁻³
E_tot: -4.757 eV/atom
Energy relative to the lowest polymorph listed for this composition: 96 meV/atom

Cell lengths 4.468, 5.249, 12.466 Å; angles 102.15, 100.32, 90.00 degrees
Each line ends with the local moment (μB).
Positions (direct):
Ac1 0.620 0.620 0.240  0.04
Ac2 0.500 0.000 0.000  0.00
Ac3 0.380 0.380 0.760  0.04
Pb1 0.150 0.150 0.299  -0.02
Pb2 0.850 0.850 0.701  -0.02
Pb3 0.000 0.500 0.000  -0.01
Ce1 0.245 0.745 0.490  1.01
Ce2 0.755 0.255 0.510  1.01

---

VASP calculation (GGA-PBE) on a relaxed structure of AcCe4Pb5.

Computed properties:
Symmetry: P4/mmm
Formation energy: -0.4083 eV/atom
Magnetic moment: 4.81 μB/cell
Mass density: 9.8 g cm⁻³
E_tot: -5.047 eV/atom

Cell lengths 4.244, 4.244, 17.121 Å; angles 90.00, 90.00, 90.00 degrees
Each line ends with the local moment (μB).
Positions (direct):
Pb1 0.500 0.500 0.306  -0.02
Pb2 0.500 0.500 0.500  -0.03
Pb3 0.500 0.500 0.114  0.01
Pb4 0.500 0.500 0.886  0.01
Pb5 0.500 0.500 0.694  -0.02
Ce1 0.000 0.000 0.403  0.89
Ce2 0.000 0.000 0.597  0.89
Ce3 0.000 0.000 0.788  0.90
Ce4 0.000 0.000 0.212  0.90
Ac1 0.000 0.000 0.000  0.10

---

Which of these has the highest mass density?
AcCe4Pb5